[1]
This record from Alexandria describes a relaxed Tb2Mg crystal. The functional is PBE.

The structure belongs to space group Fd-3m (No. 227, origin choice 2); the cell edges are 9.0750, 9.0750 and 9.0750 Å and the angles 90.00°, 90.00° and 90.00°. The asymmetric unit holds Tb at (0.0000, 0.0000, 0.0000) and Mg at (0.1250, 0.1250, 0.6250).

For the total DFT energy (no corrections), the calculation gives -79.9 eV for the cell shown. The energy relative to the elements comes out at 0.29 eV/atom.



[2]
This record from Alexandria describes a relaxed TbMg6 crystal. The functional is PBE.

The structure belongs to space group Im-3m (No. 229); the cell edges are 7.6898, 7.6898 and 7.6898 Å and the angles 90.00°, 90.00° and 90.00°. The asymmetric unit holds Tb at (0.0000, 0.0000, 0.0000) and Mg at (0.0000, 0.2500, 0.5000).

For the total DFT energy (no corrections), the calculation gives -18.1 eV for the cell shown. The energy relative to the elements comes out at 0.74 eV/atom.



[3]
This record from Alexandria describes a relaxed Tb7Mg5 crystal. The functional is PBE.

The structure belongs to space group C2/m (No. 12); the cell edges are 11.7823, 5.3511 and 10.8414 Å and the angles 90.00°, 90.06° and 90.00°. The asymmetric unit holds Tb at (0.0000, 0.0000, 0.0000), Tb at (0.0213, 0.5000, 0.2272), Tb at (0.1547, 0.5000, 0.5115), Tb at (0.1711, 0.0000, 0.7476), Mg at (0.0000, 0.0000, 0.5000), Mg at (0.1580, 0.0000, 0.2744) and Mg at (0.1939, 0.5000, 0.9659).

For the total DFT energy (no corrections), the calculation gives -80.8 eV for the cell shown. The energy relative to the elements comes out at 0.00 eV/atom.



[4]
This record from Alexandria describes a relaxed Tb6Mg2Tc crystal. The functional is PBE.

The structure belongs to space group Immm (No. 71); the cell edges are 5.5783, 8.7281 and 10.7654 Å and the angles 90.00°, 90.00° and 90.00°. The asymmetric unit holds Tb at (0.0000, 0.1745, 0.0000), Tb at (0.0000, 0.2206, 0.3437), Mg at (0.0000, 0.5000, 0.1476) and Tc at (0.0000, 0.5000, 0.5000).

For the total DFT energy (no corrections), the calculation gives -79.0 eV for the cell shown. The energy relative to the elements comes out at 0.20 eV/atom.



[5]
This record from Alexandria describes a relaxed Tb6Mg2Tc crystal. The functional is PBE.

The structure belongs to space group Amm2 (No. 38); the cell edges are 3.6886, 15.3301 and 9.0346 Å and the angles 90.00°, 90.00° and 90.00°. The asymmetric unit holds Tb at (0.0000, 0.0000, 0.0000), Tb at (0.0000, 0.1177, 0.6239), Tb at (0.5000, 0.0000, 0.3592), Tb at (0.5000, 0.1885, 0.9355), Mg at (0.0000, 0.1683, 0.2465) and Tc at (0.5000, 0.0000, 0.7643).

For the total DFT energy (no corrections), the calculation gives -82.8 eV for the cell shown. The energy relative to the elements comes out at -0.01 eV/atom.



[6]
This record from Alexandria describes a relaxed TbMgTc crystal. The functional is PBE.

The structure belongs to space group C2/m (No. 12); the cell edges are 12.2903, 4.3240 and 5.4027 Å and the angles 90.00°, 99.90° and 90.00°. The asymmetric unit holds Tb at (0.1322, 0.0000, 0.3364), Mg at (0.0764, 0.5000, 0.7804) and Tc at (0.2239, 0.0000, 0.8970).

For the total DFT energy (no corrections), the calculation gives -66.1 eV for the cell shown. The energy relative to the elements comes out at 0.03 eV/atom.